No. 1
Entry from Alexandria: a geometry-optimized LiCuMoF6 structure (PBE+U).

Summary:
- total magnetic moment (μB/atom) = 0.403
- space-group type = No. 163
- DFT total energy (eV for the cell shown) = -89.32

Structure (POSCAR):
```
LiCuMoF6
1.0
5.2488 0.0000 0.0000
-2.6244 4.5456 0.0000
0.0000 0.0000 9.0283
Li Cu Mo F
2 2 2 12
direct
0.3333 0.6667 0.2500
0.6667 0.3333 0.7500
0.0000 0.0000 0.0000
0.0000 0.0000 0.5000
0.3333 0.6667 0.7500
0.6667 0.3333 0.2500
0.0062 0.3350 0.1281
0.0062 0.6712 0.3719
0.3288 0.3350 0.3719
0.3288 0.9938 0.1281
0.3350 0.0062 0.6281
0.3350 0.3288 0.8719
0.6650 0.6712 0.1281
0.6650 0.9938 0.3719
0.6712 0.0062 0.8719
0.6712 0.6650 0.6281
0.9938 0.3288 0.6281
0.9938 0.6650 0.8719
```

No. 2
Entry from Alexandria: a geometry-optimized Li2CuMoF6 structure (PBE+U).

Summary:
- total magnetic moment (μB/atom) = 0.312
- space-group type = No. 225
- DFT total energy (eV for the cell shown) = -46.90

Structure (POSCAR):
```
Li2CuMoF6
1.0
0.0000 4.2198 4.2198
4.2198 0.0000 4.2198
4.2198 4.2198 0.0000
Li Cu Mo F
2 1 1 6
direct
0.2500 0.2500 0.2500
0.7500 0.7500 0.7500
0.0000 0.0000 0.0000
0.5000 0.5000 0.5000
0.2531 0.2531 0.7469
0.2531 0.7469 0.2531
0.2531 0.7469 0.7469
0.7469 0.2531 0.2531
0.7469 0.2531 0.7469
0.7469 0.7469 0.2531
```